This record from Alexandria describes a relaxed BeSnO2 crystal. The functional is PBE.

CIF file:
```
data_BeSnO2
_chemical_formula_sum 'Be1 Sn1 O2'
_space_group_name_H-M_alt 'P 1'
_space_group_IT_number 1
_cell_length_a 6.118
_cell_length_b 6.118
_cell_length_c 6.118
_cell_angle_alpha 27.41
_cell_angle_beta 27.41
_cell_angle_gamma 27.41
loop_
_space_group_symop_operation_xyz
'x,y,z'
loop_
_atom_site_label
_atom_site_fract_x
_atom_site_fract_y
_atom_site_fract_z
Be1 0.500 0.500 0.500
Sn1 0.000 0.000 0.000
O1 0.885 0.885 0.885
O2 0.115 0.115 0.115
```

Output
* raw formation energy: -1.300 eV per atom
* SG: No. 166
* energy relative to the lowest polymorph listed for this composition: 0.318 eV per atom
* N(E_F): 0.08 states/eV per cell

***

This record from Alexandria describes a relaxed LaTcCl2 crystal. The functional is PBE.

CIF file:
```
data_LaTcCl2
_chemical_formula_sum 'La1 Tc1 Cl2'
_space_group_name_H-M_alt 'P 1'
_space_group_IT_number 1
_cell_length_a 3.487
_cell_length_b 4.774
_cell_length_c 6.700
_cell_angle_alpha 78.31
_cell_angle_beta 90.00
_cell_angle_gamma 90.00
loop_
_space_group_symop_operation_xyz
'x,y,z'
loop_
_atom_site_label
_atom_site_fract_x
_atom_site_fract_y
_atom_site_fract_z
Cl1 0.500 0.243 0.320
Cl2 0.000 0.851 0.914
La1 0.000 0.469 0.610
Tc1 0.500 0.937 0.655
```

Output
* raw formation energy: -0.738 eV per atom
* SG: No. 6
* energy relative to the lowest polymorph listed for this composition: 0.022 eV per atom
* N(E_F): 3.21 states/eV per cell

***

This record from Alexandria describes a relaxed MgBe2W crystal. The functional is PBE.

CIF file:
```
data_MgBe2W
_chemical_formula_sum 'Mg1 Be2 W1'
_space_group_name_H-M_alt 'P 1'
_space_group_IT_number 1
_cell_length_a 4.947
_cell_length_b 4.947
_cell_length_c 4.947
_cell_angle_alpha 138.94
_cell_angle_beta 138.94
_cell_angle_gamma 59.47
loop_
_space_group_symop_operation_xyz
'x,y,z'
loop_
_atom_site_label
_atom_site_fract_x
_atom_site_fract_y
_atom_site_fract_z
Be1 0.000 0.000 0.000
Be2 0.250 0.750 0.500
Mg1 0.500 0.500 0.000
W1 0.750 0.250 0.500
```

Output
* SG: No. 119
* N(E_F): 1.46 states/eV per cell
* energy of formation: 0.47 eV/atom

***

This record from Alexandria describes a relaxed Li4Zn3Rh crystal. The functional is PBE.

CIF file:
```
data_Li4Zn3Rh
_chemical_formula_sum 'Li8 Zn6 Rh2'
_space_group_name_H-M_alt 'P 1'
_space_group_IT_number 1
_cell_length_a 5.523
_cell_length_b 7.398
_cell_length_c 5.540
_cell_angle_alpha 90.00
_cell_angle_beta 90.00
_cell_angle_gamma 90.00
loop_
_space_group_symop_operation_xyz
'x,y,z'
loop_
_atom_site_label
_atom_site_fract_x
_atom_site_fract_y
_atom_site_fract_z
Zn1 0.750 0.064 0.740
Zn2 0.250 0.064 0.740
Zn3 0.500 0.314 0.000
Zn4 0.750 0.564 0.260
Zn5 0.000 0.814 0.000
Zn6 0.250 0.564 0.260
Li1 0.500 0.814 0.000
Li2 0.000 0.315 0.501
Li3 0.750 0.065 0.259
Li4 0.250 0.565 0.741
Li5 0.500 0.815 0.499
Li6 0.000 0.314 0.000
Li7 0.750 0.565 0.741
Li8 0.250 0.065 0.259
Rh1 0.500 0.314 0.500
Rh2 0.000 0.814 0.500
```

Output
* SG: No. 53
* energy relative to the lowest polymorph listed for this composition: 0.018 eV per atom
* N(E_F): 6.52 states/eV per cell
* energy of formation: -0.22 eV/atom

***

This record from Alexandria describes a relaxed Ce3TlPb2 crystal. The functional is PBE.

CIF file:
```
data_Ce3TlPb2
_chemical_formula_sum 'Ce3 Tl1 Pb2'
_space_group_name_H-M_alt 'P 1'
_space_group_IT_number 1
_cell_length_a 3.561
_cell_length_b 3.561
_cell_length_c 13.847
_cell_angle_alpha 90.00
_cell_angle_beta 90.00
_cell_angle_gamma 90.00
loop_
_space_group_symop_operation_xyz
'x,y,z'
loop_
_atom_site_label
_atom_site_fract_x
_atom_site_fract_y
_atom_site_fract_z
Ce1 0.000 0.000 0.000
Ce2 0.000 0.000 0.335
Ce3 0.000 0.000 0.665
Pb1 0.500 0.500 0.833
Pb2 0.500 0.500 0.167
Tl1 0.500 0.500 0.500
```

Output
* SG: No. 123
* energy relative to the lowest polymorph listed for this composition: 0.004 eV per atom
* N(E_F): 19.95 states/eV per cell
* energy of formation: -0.34 eV/atom

***

This record from Alexandria describes a relaxed TbNdTlGa crystal. The functional is PBE.

CIF file:
```
data_TbNdTlGa
_chemical_formula_sum 'Tb1 Nd1 Tl1 Ga1'
_space_group_name_H-M_alt 'P 1'
_space_group_IT_number 1
_cell_length_a 3.696
_cell_length_b 3.696
_cell_length_c 7.723
_cell_angle_alpha 90.00
_cell_angle_beta 90.00
_cell_angle_gamma 90.00
loop_
_space_group_symop_operation_xyz
'x,y,z'
loop_
_atom_site_label
_atom_site_fract_x
_atom_site_fract_y
_atom_site_fract_z
Tl1 0.000 0.000 0.847
Ga1 0.000 0.000 0.367
Nd1 0.500 0.500 0.124
Tb1 0.500 0.500 0.590
```

Output
* SG: No. 99
* energy relative to the lowest polymorph listed for this composition: 0.000 eV per atom
* N(E_F): 1.91 states/eV per cell
* energy of formation: -0.47 eV/atom

***

This record from Alexandria describes a relaxed CaBeCd crystal. The functional is PBE.

CIF file:
```
data_CaBeCd
_chemical_formula_sum 'Ca1 Be1 Cd1'
_space_group_name_H-M_alt 'P 1'
_space_group_IT_number 1
_cell_length_a 4.478
_cell_length_b 4.478
_cell_length_c 3.830
_cell_angle_alpha 90.00
_cell_angle_beta 90.00
_cell_angle_gamma 120.00
loop_
_space_group_symop_operation_xyz
'x,y,z'
loop_
_atom_site_label
_atom_site_fract_x
_atom_site_fract_y
_atom_site_fract_z
Cd1 0.333 0.667 0.833
Ca1 0.667 0.333 0.334
Be1 0.000 0.000 0.833
```

Output
* SG: No. 187
* energy relative to the lowest polymorph listed for this composition: 0.000 eV per atom
* N(E_F): 1.90 states/eV per cell
* energy of formation: 0.06 eV/atom

***

This record from Alexandria describes a relaxed Sm2CuSe2O2 crystal. The functional is PBE.

CIF file:
```
data_Sm2CuSe2O2
_chemical_formula_sum 'Sm2 Cu1 Se2 O2'
_space_group_name_H-M_alt 'P 1'
_space_group_IT_number 1
_cell_length_a 3.926
_cell_length_b 3.926
_cell_length_c 11.485
_cell_angle_alpha 90.00
_cell_angle_beta 90.00
_cell_angle_gamma 120.00
loop_
_space_group_symop_operation_xyz
'x,y,z'
loop_
_atom_site_label
_atom_site_fract_x
_atom_site_fract_y
_atom_site_fract_z
O1 0.667 0.333 0.577
O2 0.333 0.667 0.423
Se1 0.000 0.000 0.806
Se2 0.000 0.000 0.194
Sm1 0.333 0.667 0.630
Sm2 0.667 0.333 0.370
Cu1 0.000 0.000 0.000
```

Output
* raw formation energy: -2.014 eV per atom
* SG: No. 164
* N(E_F): 3.69 states/eV per cell

***

> What is the N(E_F) in the third record?

1.46 states/eV per cell